Entry one
This record from Alexandria via LeMat-Bulk describes a geometry-optimized KMg2Os structure. The functional is GGA-PBE.

Structure (CIF):
```
data_KMg2Os
_chemical_formula_sum 'K1 Mg2 Os1'
_cell_length_a 4.9035
_cell_length_b 4.9035
_cell_length_c 4.9035
_cell_angle_alpha 60.00
_cell_angle_beta 60.00
_cell_angle_gamma 60.00
_symmetry_space_group_name_H-M 'P 1'
_symmetry_Int_Tables_number 1
_symmetry_space_group_name_Hall 'P 1'
loop_
_atom_site_label
_atom_site_type_symbol
_atom_site_fract_x
_atom_site_fract_y
_atom_site_fract_z
_atom_site_occupancy
Os1 Os 0.5000 0.5000 0.5000 1
Mg1 Mg 0.7500 0.7500 0.7500 1
Mg2 Mg 0.2500 0.2500 0.2500 1
K1 K 0.0000 0.0000 0.0000 1
```

Results
As for the total magnetic moment: 0.0 μB per formula unit. Its space group is Fm-3m, No. 225.

***

Entry two
This record from Alexandria via LeMat-Bulk describes a geometry-optimized KMg2Os structure. The functional is GGA-PBE.

Structure (CIF):
```
data_KMg2Os
_chemical_formula_sum 'K1 Mg2 Os1'
_cell_length_a 5.4929
_cell_length_b 5.4929
_cell_length_c 5.4929
_cell_angle_alpha 133.42
_cell_angle_beta 133.42
_cell_angle_gamma 67.99
_symmetry_space_group_name_H-M 'P 1'
_symmetry_Int_Tables_number 1
_symmetry_space_group_name_Hall 'P 1'
loop_
_atom_site_label
_atom_site_type_symbol
_atom_site_fract_x
_atom_site_fract_y
_atom_site_fract_z
_atom_site_occupancy
Os1 Os 0.5000 0.5000 0.0000 1
K1 K 0.7500 0.2500 0.5000 1
Mg1 Mg 0.0000 0.0000 0.0000 1
Mg2 Mg 0.2500 0.7500 0.5000 1
```

Results
As for the total magnetic moment: 0.6 μB per formula unit. Its space group is I-4m2, No. 119.

***

Entry three
This record from Alexandria via LeMat-Bulk describes a geometry-optimized KMg2Os structure. The functional is GGA-PBE.

Structure (CIF):
```
data_KMg2Os
_chemical_formula_sum 'K1 Mg2 Os1'
_cell_length_a 2.9440
_cell_length_b 2.9440
_cell_length_c 10.7535
_cell_angle_alpha 90.00
_cell_angle_beta 90.00
_cell_angle_gamma 109.14
_symmetry_space_group_name_H-M 'P 1'
_symmetry_Int_Tables_number 1
_symmetry_space_group_name_Hall 'P 1'
loop_
_atom_site_label
_atom_site_type_symbol
_atom_site_fract_x
_atom_site_fract_y
_atom_site_fract_z
_atom_site_occupancy
Mg1 Mg 0.0000 0.0000 0.0583 1
Mg2 Mg 0.0000 0.0000 0.4417 1
Os1 Os 0.5000 0.5000 0.2500 1
K1 K 0.5000 0.5000 0.7500 1
```

Results
As for the total magnetic moment: 0.0 μB per formula unit. Its space group is Cmmm, No. 65.

***

Most stable: entry three